No. 1
PBE-GGA LiCrCuGe, optimized geometry; E_tot = -20.4 eV/cell; formation energy = -0.029 eV/atom
1.0
0.000 2.994 2.994
2.994 0.000 2.994
2.994 2.994 0.000
Li Cr Cu Ge
1 1 1 1
Direct
0.000 0.000 0.000 Li
0.500 0.500 0.500 Cr
0.750 0.750 0.750 Cu
0.250 0.250 0.250 Ge

***

No. 2
PBE-GGA In2AsRh, optimized geometry; E_tot = -17.4 eV/cell; formation energy = 0.018 eV/atom
1.0
1.687 0.974 8.301
-1.687 0.974 8.301
0.000 -1.948 8.301
In As Rh
2 1 1
Direct
0.244 0.244 0.244 In
0.756 0.756 0.756 In
0.000 0.000 0.000 As
0.500 0.500 0.500 Rh

***

No. 3
PBE-GGA LaSbCl2, optimized geometry; E_tot = -18.1 eV/cell; relative energy among the computed polymorphs = 0.339 eV per formula unit; raw formation energy = -1.349 eV/atom
1.0
6.327 -1.856 0.000
6.327 1.856 0.000
-3.398 0.000 5.720
La Sb Cl
1 1 2
Direct
0.000 0.000 0.000 La
0.719 0.719 0.457 Sb
0.356 0.356 0.068 Cl
0.543 0.543 0.736 Cl